The following is a GGA-PBE calculation of an optimized crystal structure of PmNbAu, from the Open Quantum Materials Database.

a = 4.8298 Å, b = 4.8298 Å, c = 4.8298 Å
α = 60.00°, β = 60.00°, γ = 60.00°
With the nearest neighbours (Å) after each atom.
Atoms (fractional coordinates):
Au (0.5000, 0.5000, 0.5000)  4 Pm 2.96
Nb (0.0000, 0.0000, 0.0000)  4 Pm 2.96
Pm (0.2500, 0.2500, 0.2500)  4 Au 2.96, 4 Nb 2.96

Calculated values
polymorph energy (0 for the lowest one)	293	meV/atom
final energy	-5.17	eV/atom
energy of formation from the pure elements	0.87	eV/atom


The following is a GGA-PBE calculation of an optimized crystal structure of PmNbAu, from the Open Quantum Materials Database.

a = 4.6822 Å, b = 4.6822 Å, c = 4.6822 Å
α = 60.00°, β = 60.00°, γ = 60.00°
With the nearest neighbours (Å) after each atom.
Atoms (fractional coordinates):
Pm (0.7500, 0.7500, 0.7500)  4 Nb 2.87
Nb (0.0000, 0.0000, 0.0000)  4 Pm 2.87, 4 Au 2.87
Au (0.2500, 0.2500, 0.2500)  4 Nb 2.87

Calculated values
polymorph energy (0 for the lowest one)	0	meV/atom
final energy	-5.46	eV/atom
energy of formation from the pure elements	0.58	eV/atom


The following is a GGA-PBE calculation of an optimized crystal structure of NbPt2Au, from the Open Quantum Materials Database.

a = 4.5493 Å, b = 4.5493 Å, c = 4.5493 Å
α = 60.00°, β = 60.00°, γ = 60.00°
With the nearest neighbours (Å) after each atom.
Atoms (fractional coordinates):
Pt (0.7500, 0.7500, 0.7500)  4 Pt 2.79, 4 Au 2.79
Pt (0.5000, 0.5000, 0.5000)  4 Pt 2.79, 4 Nb 2.79
Au (0.0000, 0.0000, 0.0000)  4 Nb 2.79, 4 Pt 2.79
Nb (0.2500, 0.2500, 0.2500)  4 Pt 2.79, 4 Au 2.79

Calculated values
final energy	-6.59	eV/atom
energy of formation from the pure elements	-0.22	eV/atom


The following is a GGA-PBE calculation of an optimized crystal structure of NbPtAu, from the Open Quantum Materials Database.

a = 4.4050 Å, b = 4.4050 Å, c = 4.4050 Å
α = 60.00°, β = 60.00°, γ = 60.00°
With the nearest neighbours (Å) after each atom.
Atoms (fractional coordinates):
Au (0.2500, 0.2500, 0.2500)  4 Nb 2.70
Nb (0.0000, 0.0000, 0.0000)  4 Pt 2.70, 4 Au 2.70
Pt (0.7500, 0.7500, 0.7500)  4 Nb 2.70

Calculated values
polymorph energy (0 for the lowest one)	78	meV/atom
final energy	-6.39	eV/atom
energy of formation from the pure elements	0.09	eV/atom


The following is a GGA-PBE calculation of an optimized crystal structure of NbPtAu, from the Open Quantum Materials Database.

a = 4.3834 Å, b = 4.3834 Å, c = 4.3834 Å
α = 60.00°, β = 60.00°, γ = 60.00°
With the nearest neighbours (Å) after each atom.
Atoms (fractional coordinates):
Au (0.2500, 0.2500, 0.2500)  4 Pt 2.68
Nb (0.7500, 0.7500, 0.7500)  4 Pt 2.68
Pt (0.0000, 0.0000, 0.0000)  4 Nb 2.68, 4 Au 2.68

Calculated values
polymorph energy (0 for the lowest one)	0	meV/atom
final energy	-6.46	eV/atom
energy of formation from the pure elements	0.01	eV/atom


The following is a GGA-PBE calculation of an optimized crystal structure of Nb2PtAu, from the Open Quantum Materials Database.

a = 4.5990 Å, b = 4.5990 Å, c = 4.5990 Å
α = 60.00°, β = 60.00°, γ = 60.00°
With the nearest neighbours (Å) after each atom.
Atoms (fractional coordinates):
Nb (0.0000, 0.0000, 0.0000)  4 Nb 2.82, 4 Au 2.82
Nb (0.7500, 0.7500, 0.7500)  4 Nb 2.82, 4 Pt 2.82
Pt (0.5000, 0.5000, 0.5000)  4 Nb 2.82, 4 Au 2.82
Au (0.2500, 0.2500, 0.2500)  4 Pt 2.82, 4 Nb 2.82

Calculated values
final energy	-7.47	eV/atom
energy of formation from the pure elements	-0.09	eV/atom


The following is a GGA-PBE calculation of an optimized crystal structure of RbNbAu, from the Open Quantum Materials Database.

a = 5.3127 Å, b = 5.3127 Å, c = 5.3127 Å
α = 60.00°, β = 60.00°, γ = 60.00°
With the nearest neighbours (Å) after each atom.
Atoms (fractional coordinates):
Au (0.2500, 0.2500, 0.2500)  4 Rb 3.25
Rb (0.0000, 0.0000, 0.0000)  4 Au 3.25, 4 Nb 3.25
Nb (0.7500, 0.7500, 0.7500)  4 Rb 3.25

Calculated values
polymorph energy (0 for the lowest one)	529	meV/atom
final energy	-2.92	eV/atom


The following is a GGA-PBE calculation of an optimized crystal structure of RbNbAu, from the Open Quantum Materials Database.

a = 5.1140 Å, b = 5.1140 Å, c = 5.1140 Å
α = 60.00°, β = 60.00°, γ = 60.00°
With the nearest neighbours (Å) after each atom.
Atoms (fractional coordinates):
Au (0.0000, 0.0000, 0.0000)  4 Nb 3.13, 4 Rb 3.13
Rb (0.7500, 0.7500, 0.7500)  4 Au 3.13
Nb (0.2500, 0.2500, 0.2500)  4 Au 3.13

Calculated values
polymorph energy (0 for the lowest one)	0	meV/atom
final energy	-3.45	eV/atom